MgNiPd3: relaxed, PBE-GGA.

The structure in extended XYZ format:
```
5
Lattice="4.587 0.000 0.000 0.000 4.587 0.000 0.000 0.000 4.587" Properties=species:S:1:pos:R:3 pbc="T T T"
Ni 0.000 0.000 0.000
Mg 2.294 2.294 2.294
Pd 0.000 2.294 0.000
Pd 0.000 0.000 2.294
Pd 2.294 0.000 0.000
```

mass density = 6920 kg/m3
energy relative to the elements = 0.40 eV per atom

BeIrAu2: relaxed, PBE-GGA.

The structure in extended XYZ format:
```
4
Lattice="3.124 0.000 0.000 0.000 4.349 0.000 0.000 0.000 4.488" Properties=species:S:1:pos:R:3 pbc="T T T"
Be 1.562 0.000 2.244
Ir 0.000 2.174 2.244
Au 0.000 0.000 0.000
Au 1.562 2.174 0.000
```

mass density = 16212 kg/m3
energy relative to the elements = 0.23 eV per atom

Ac3PrInRh: relaxed, PBE-GGA.

The structure in extended XYZ format:
```
12
Lattice="8.825 0.757 -2.769 4.804 7.442 -2.769 0.172 0.103 6.577" Properties=species:S:1:pos:R:3 pbc="T T T"
Ac 2.540 1.528 3.107
Ac 4.308 4.881 3.925
Ac 6.331 1.519 3.925
Ac 7.470 6.783 -2.885
Ac 9.493 3.421 -2.885
Ac 11.260 6.774 -2.067
Pr 6.074 5.525 0.520
Pr 7.727 2.777 0.520
In 9.498 5.713 0.726
In 4.303 2.589 0.313
Rh 13.717 8.251 -0.474
Rh 0.084 0.051 1.513
```

mass density = 8373 kg/m3
energy relative to the elements = -0.38 eV per atom

PrNd2Dy2Er2: relaxed, PBE-GGA.

The structure in extended XYZ format:
```
7
Lattice="3.511 0.000 0.000 -1.756 9.046 -1.079 0.000 -3.273 7.842" Properties=species:S:1:pos:R:3 pbc="T T T"
Pr 0.000 -1.636 3.921
Nd 1.756 -0.304 6.825
Nd 0.000 6.077 -0.062
Dy 0.000 5.261 5.073
Dy 1.756 0.513 1.690
Er 1.756 3.979 2.336
Er 0.000 1.795 4.427
```

mass density = 7640 kg/m3
energy relative to the elements = 0.15 eV per atom

NpVC2: relaxed, PBE-GGA.

The structure in extended XYZ format:
```
4
Lattice="3.124 0.000 0.000 1.562 2.705 0.000 1.562 0.902 5.435" Properties=species:S:1:pos:R:3 pbc="T T T"
Np 3.124 1.804 2.717
C 1.562 0.902 1.150
C 4.686 2.705 4.285
V 0.000 0.000 0.000
```

mass density = 11277 kg/m3
energy relative to the elements = -0.14 eV per atom

Tb2Sm4Ho: relaxed, PBE-GGA.

The structure in extended XYZ format:
```
14
Lattice="-5.811 -1.723 -1.226 0.790 -5.368 3.798 -0.873 6.606 9.517" Properties=species:S:1:pos:R:3 pbc="T T T"
Tb -3.797 1.500 11.571
Tb -2.096 -1.985 0.518
Tb -1.843 0.964 4.634
Tb -4.051 -1.450 7.456
Sm -3.622 -1.962 3.857
Sm -0.366 1.610 11.014
Sm -5.528 -2.095 1.076
Sm -3.241 -4.551 5.689
Sm -5.217 0.834 5.152
Sm -2.653 4.066 6.400
Sm -2.272 1.477 8.232
Sm -0.677 -1.320 6.938
Ho -0.419 -3.212 4.210
Ho -5.475 2.727 7.880
```

mass density = 7816 kg/m3
energy relative to the elements = 0.13 eV per atom

Number 1: magnetization 1.28 μB per formula unit. Number 2: magnetization 0.00 μB per formula unit. Number 3: magnetization 0.00 μB per formula unit. Number 4: magnetization 0.00 μB per formula unit. Number 5: magnetization 1.92 μB per formula unit. Number 6: magnetization 0.00 μB per formula unit.